1.
DFT (PBE-GGA) results for a geometry-optimized YSnH structure.

Cell: 5.9961 3.5619 11.7334 Å, 90.00 90.00 90.00°
Fractional positions:
Y 0.7324 0.2500 0.4524
Y 0.7676 0.7500 0.9524
Y 0.2676 0.7500 0.5476
Y 0.2324 0.2500 0.0476
H 0.9560 0.2500 0.9328
H 0.5440 0.7500 0.4328
H 0.0440 0.7500 0.0672
H 0.4560 0.2500 0.5672
Sn 0.1992 0.2500 0.3136
Sn 0.3008 0.7500 0.8136
Sn 0.8008 0.7500 0.6864
Sn 0.6992 0.2500 0.1864

Output
D(E_F), states/eV per atom: 0.516
SG: Pnma (62)

2.
DFT (PBE-GGA) results for a geometry-optimized YSnH structure.

Cell: 3.7265 5.2218 6.2477 Å, 88.64 72.59 90.13°
Fractional positions:
Y 0.6465 0.3120 0.2040
Y 0.3535 0.6880 0.7960
H 0.2327 0.3698 0.0327
H 0.7673 0.6302 0.9673
Sn 0.9200 0.1916 0.6651
Sn 0.0800 0.8084 0.3349

Output
D(E_F), states/eV per atom: 0.230
SG: P-1 (2)

3.
DFT (PBE-GGA) results for a geometry-optimized Y2ZnSnH structure.

Cell: 4.8182 4.8182 4.2667 Å, 90.00 90.00 90.00°
Fractional positions:
Y 0.0000 0.5000 0.0000
Y 0.5000 0.0000 0.0000
H 0.0000 0.0000 0.0000
Zn 0.0000 0.0000 0.5000
Sn 0.5000 0.5000 0.5000

Output
D(E_F), states/eV per atom: 0.680
SG: P4/mmm (123)

4.
DFT (PBE-GGA) results for a geometry-optimized YZn2SnH structure.

Cell: 4.4451 4.4451 4.3611 Å, 90.00 90.00 90.00°
Fractional positions:
Y 0.0000 0.0000 0.5000
H 0.0000 0.0000 0.0000
Zn 0.0000 0.5000 0.0000
Zn 0.5000 0.0000 0.0000
Sn 0.5000 0.5000 0.5000

Output
D(E_F), states/eV per atom: 0.375
SG: P4/mmm (123)

Final energy values (in eV/atom) by entry order: -5.0497; -5.1904; -4.7462; -3.5417.